# Pm2TlVO6

A relaxed Pm2TlVO6 crystal (GGA+U, Alexandria).

```
Pm2TlVO6
1.0
5.8234 0.0000 0.0000
0.0000 5.4981 0.0000
0.0000 0.0000 5.4981
O V Tl Pm
6 1 1 2
direct
0.7505 0.7774 0.2226
0.7505 0.7774 0.7774
0.7505 0.2226 0.2226
0.3340 0.0000 0.0000
0.7505 0.2226 0.7774
0.0734 0.5000 0.5000
0.6320 0.0000 0.0000
0.4866 0.5000 0.5000
0.9594 0.5000 0.0000
0.9594 0.0000 0.5000
```

space group	P4mm, No. 99
density of states at the Fermi level	0.1	states/eV/cell
calculated total energy	-7.13	eV/atom
calculated volume	17.6	Å³ per atom